VASP calculation (SCAN) on a PBEsol-optimized structure of LiInCl2.

Unit cell a=6.325 b=6.325 c=6.325 alpha=104.93 beta=111.79 gamma=111.79
Sites, in units of the cell vectors:
Cl 0.580 0.205 0.125
Cl 0.080 0.875 0.455
Cl 0.920 0.375 0.795
Cl 0.420 0.545 0.625
Li 0.500 0.250 0.750
Li 0.000 0.500 0.500
In 0.500 0.750 0.250
In 0.000 0.000 0.000

Results
Mass density ... 3.3 g/cm3
Uncorrected formation energy ... -1387 meV/atom
Symmetry ... No. 122
Offset from the most stable computed form ... 0 meV per atom